No. 1
Cs2SbF | meta-GGA SCAN | single point on PBEsol structure

Cell: 7.6278 7.6278 7.6278 Å, 110.79 110.79 106.86°
Fractional coordinates of all 8 atoms:
Cs 0.0236 0.6250 0.8986
Cs 0.3750 0.2736 0.3986
Cs 0.7264 0.1250 0.1014
Cs 0.8750 0.9764 0.6014
Sb 0.2500 0.7500 0.5000
Sb 0.5000 0.5000 0.0000
F 0.0000 0.0000 0.0000
F 0.7500 0.2500 0.5000

Summary:
D(E_F) (states/eV/cell): 4.4
Raw formation energy (eV/atom): -1.26
M_tot (μB/cell): 4.0

No. 2
MgBi3Pb | meta-GGA SCAN | single point on PBEsol structure

Cell: 5.8289 5.8289 5.8289 Å, 90.00 90.00 90.00°
Fractional coordinates of all 5 atoms:
Mg 0.0000 0.0000 0.0000
Bi 0.0000 0.5000 0.5000
Bi 0.5000 0.0000 0.5000
Bi 0.5000 0.5000 0.0000
Pb 0.5000 0.5000 0.5000

Summary:
D(E_F) (states/eV/cell): 5.5
Total DFT energy (no corrections) (eV per cell): -312.2
M_tot (μB/cell): 0.0

No. 3
K3BBr | meta-GGA SCAN | single point on PBEsol structure

Cell: 6.0580 6.0580 6.0580 Å, 90.00 90.00 90.00°
Fractional coordinates of all 5 atoms:
K 0.0000 0.0000 0.5000
K 0.0000 0.5000 0.0000
K 0.5000 0.0000 0.0000
B 0.5000 0.5000 0.5000
Br 0.0000 0.0000 0.0000

Summary:
D(E_F) (states/eV/cell): 1.3
Raw formation energy (eV/atom): 0.16
M_tot (μB/cell): 3.0